No. 1
Here is crystalline Sm2ErCu2 at its relaxed geometry from Alexandria. Energies are from PBE-GGA.

CIF file:
```
data_Sm2ErCu2
_space_group_name_H-M_alt 'P 4/m b m'
_space_group_IT_number 127
_space_group_name_Hall '-P 4 2ab'
_cell_length_a 7.1747
_cell_length_b 7.1747
_cell_length_c 4.7225
_cell_angle_alpha 90.00
_cell_angle_beta 90.00
_cell_angle_gamma 90.00
loop_
_atom_site_label
_atom_site_type_symbol
_atom_site_fract_x
_atom_site_fract_y
_atom_site_fract_z
Sm1 Sm 0.1710 0.3290 0.0000
Er1 Er 0.0000 0.0000 0.5000
Cu1 Cu 0.1223 0.6223 0.5000
```

Properties
Polymorph energy (0 for the lowest one) in eV/atom: 0.000
Energy of formation in eV/atom: -0.14
Fermi-level density of states in states/eV per atom: 1.272
Crystal system: tetragonal

***

No. 2
Here is crystalline AcH2I2 at its relaxed geometry from Alexandria. Energies are from PBE-GGA.

CIF file:
```
data_AcH2I2
_space_group_name_H-M_alt 'P -1'
_space_group_IT_number 2
_cell_length_a 4.4478
_cell_length_b 6.8545
_cell_length_c 10.7782
_cell_angle_alpha 102.93
_cell_angle_beta 101.38
_cell_angle_gamma 90.40
loop_
_space_group_symop_operation_xyz
'x,y,z'
'-x,-y,-z'
loop_
_atom_site_label
_atom_site_type_symbol
_atom_site_fract_x
_atom_site_fract_y
_atom_site_fract_z
Ac1 Ac 0.1842 0.2687 0.3650
H1 H 0.1718 0.9076 0.3451
H2 H 0.2662 0.5923 0.5328
I1 I 0.3307 0.1204 0.6592
I2 I 0.4238 0.6951 0.8626
```

Properties
Polymorph energy (0 for the lowest one) in eV/atom: 0.114
Fermi-level density of states in states/eV per atom: 0.247
Crystal system: triclinic

***

No. 3
Here is crystalline Li2BeRe at its relaxed geometry from Alexandria. Energies are from PBE-GGA.

CIF file:
```
data_Li2BeRe
_space_group_name_H-M_alt 'I m m 2'
_space_group_IT_number 44
_cell_length_a 2.4991
_cell_length_b 4.6030
_cell_length_c 8.8559
_cell_angle_alpha 90.00
_cell_angle_beta 90.00
_cell_angle_gamma 90.00
loop_
_space_group_symop_operation_xyz
'x,y,z'
'-x,-y,z'
'-x,y,z'
'x,-y,z'
'x+1/2,y+1/2,z+1/2'
'-x+1/2,-y+1/2,z+1/2'
'-x+1/2,y+1/2,z+1/2'
'x+1/2,-y+1/2,z+1/2'
loop_
_atom_site_label
_atom_site_type_symbol
_atom_site_fract_x
_atom_site_fract_y
_atom_site_fract_z
Li1 Li 0.0000 0.0000 0.0000
Li2 Li 0.0000 0.5000 0.2476
Be1 Be 0.0000 0.0000 0.5143
Re1 Re 0.0000 0.5000 0.7854
```

Properties
Energy of formation in eV/atom: 0.38
Fermi-level density of states in states/eV per atom: 0.426
Crystal system: orthorhombic

***

No. 4
Here is crystalline TaPbS2N at its relaxed geometry from Alexandria. Energies are from PBE-GGA.

CIF file:
```
data_TaPbS2N
_space_group_name_H-M_alt 'P 4/m m m'
_space_group_IT_number 123
_space_group_name_Hall '-P 4 2'
_cell_length_a 4.9926
_cell_length_b 4.9926
_cell_length_c 3.9600
_cell_angle_alpha 90.00
_cell_angle_beta 90.00
_cell_angle_gamma 90.00
loop_
_atom_site_label
_atom_site_type_symbol
_atom_site_fract_x
_atom_site_fract_y
_atom_site_fract_z
Ta1 Ta 0.0000 0.0000 0.0000
Pb1 Pb 0.5000 0.5000 0.5000
S1 S 0.0000 0.5000 0.0000
N1 N 0.0000 0.0000 0.5000
```

Properties
Polymorph energy (0 for the lowest one) in eV/atom: 0.000
Fermi-level density of states in states/eV per atom: 0.198
ΔE_f (raw) in eV per formula unit: -2.2
Crystal system: tetragonal